{
  "formula": "Ca4Mg6F19",
  "functional": "PBE",
  "state": "relaxed",
  "crystal_system": "cubic",
  "volume_a3_per_atom": 13.61,
  "n_ef_per_ev_cell": 0.355,
  "raw_formation_energy_ev_per_fu": -102.26,
  "cell": [[-4.620, 4.620, 4.620], [4.620, -4.620, 4.620], [4.620, 4.620, -4.620]],
  "species": ["Ca", "Ca", "Ca", "Ca", "Mg", "Mg", "Mg", "Mg", "Mg", "Mg", "F", "F", "F", "F", "F", "F", "F", "F", "F", "F", "F", "F", "F", "F", "F", "F", "F", "F", "F"],
  "frac_coords": [[0.000, 0.000, 0.696], [0.000, 0.696, 0.000], [0.304, 0.304, 0.304], [0.696, 0.000, 0.000], [0.165, 0.665, 0.500], [0.335, 0.500, 0.835], [0.500, 0.165, 0.665], [0.500, 0.835, 0.335], [0.665, 0.500, 0.165], [0.835, 0.335, 0.500], [0.000, 0.000, 0.000], [0.000, 0.350, 0.350], [0.000, 0.650, 0.650], [0.037, 0.288, 0.677], [0.251, 0.963, 0.640], [0.288, 0.677, 0.037], [0.323, 0.611, 0.360], [0.350, 0.000, 0.350], [0.350, 0.350, 0.000], [0.360, 0.323, 0.611], [0.389, 0.712, 0.749], [0.611, 0.360, 0.323], [0.640, 0.251, 0.963], [0.650, 0.000, 0.650], [0.650, 0.650, 0.000], [0.677, 0.037, 0.288], [0.712, 0.749, 0.389], [0.749, 0.389, 0.712], [0.963, 0.640, 0.251]]
}